Record 1
A plane-wave DFT calculation with PBE was carried out for a relaxed structure of HfGe2C.

abc: 3.092 3.092 14.518
angles: 90.00 90.00 120.00
Atoms (fractional coordinates):
C1 0.000 0.000 0.000
Ge1 0.333 0.667 0.412
Ge2 0.667 0.333 0.588
Hf1 0.333 0.667 0.750
C2 0.000 0.000 0.500
Ge3 0.667 0.333 0.912
Ge4 0.333 0.667 0.088
Hf2 0.667 0.333 0.250

Properties
E, eV/cell: -52.6
Total magnetic moment, μB per formula unit: 0.0

=====

Record 2
A plane-wave DFT calculation with PBE was carried out for a relaxed structure of Hf4HgGeC2.

abc: 3.304 3.304 14.176
angles: 90.00 90.00 120.00
Atoms (fractional coordinates):
Hg1 0.000 0.000 0.500
C1 0.667 0.333 0.241
Ge1 0.333 0.667 0.000
Hf1 0.000 0.000 0.153
C2 0.667 0.333 0.759
Hf2 0.000 0.000 0.847
Hf3 0.333 0.667 0.328
Hf4 0.333 0.667 0.672

Properties
E, eV/cell: -69.0
Total magnetic moment, μB per formula unit: 0.0

=====

Record 3
A plane-wave DFT calculation with PBE was carried out for a relaxed structure of Hf4InGeC2.

abc: 3.311 3.311 14.224
angles: 90.00 90.00 120.00
Atoms (fractional coordinates):
Hf1 0.000 0.000 0.152
Ge1 0.667 0.333 0.000
C1 0.333 0.667 0.760
C2 0.333 0.667 0.240
Hf2 0.667 0.333 0.325
In1 0.000 0.000 0.500
Hf3 0.000 0.000 0.848
Hf4 0.667 0.333 0.675

Properties
E, eV/cell: -71.8
Total magnetic moment, μB per formula unit: 0.0

=====

Record 4
A plane-wave DFT calculation with PBE was carried out for a relaxed structure of Lu2Hf4Ge3C3.

abc: 5.825 5.825 14.179
angles: 101.86 101.86 60.02
Atoms (fractional coordinates):
Ge1 0.192 0.419 0.749
Hf1 0.305 0.143 0.913
C1 0.000 0.500 0.000
Hf2 0.143 0.305 0.413
Ge2 0.026 0.974 0.250
Ge3 0.419 0.192 0.249
Hf3 0.024 0.200 0.087
Hf4 0.857 0.695 0.587
Lu1 0.371 0.534 0.103
C2 0.500 0.000 0.500
C3 0.844 0.328 0.500
Lu2 0.629 0.466 0.897
Hf5 0.695 0.857 0.087
Ge4 0.974 0.026 0.750
Ge5 0.808 0.581 0.251
C4 0.328 0.844 0.000
Hf6 0.200 0.024 0.587
C5 0.156 0.672 0.500
Hf7 0.976 0.800 0.913
Hf8 0.800 0.976 0.413
C6 0.672 0.156 0.000
Ge6 0.581 0.808 0.751
Lu3 0.466 0.629 0.397
Lu4 0.534 0.371 0.603

Properties
E, eV/cell: -199.3
Total magnetic moment, μB per formula unit: 0.0

=====

Record 5
A plane-wave DFT calculation with PBE was carried out for a relaxed structure of Hf4Ge3Mo2C3.

abc: 5.611 5.611 13.514
angles: 101.94 101.94 60.33
Atoms (fractional coordinates):
C1 0.000 0.500 0.000
Mo1 0.642 0.473 0.917
Ge1 0.870 0.130 0.750
Ge2 0.418 0.285 0.250
Ge3 0.130 0.870 0.250
C2 0.332 0.836 0.000
C3 0.668 0.164 0.000
Hf1 0.198 0.033 0.597
Hf2 0.967 0.802 0.903
Hf3 0.866 0.699 0.597
Mo2 0.358 0.527 0.083
C4 0.500 0.000 0.500
Ge4 0.715 0.582 0.250
Hf4 0.033 0.198 0.097
Hf5 0.699 0.866 0.097
Hf6 0.802 0.967 0.403
Hf7 0.301 0.134 0.903
Hf8 0.134 0.301 0.403
C5 0.164 0.668 0.500
Ge5 0.582 0.715 0.750
Ge6 0.285 0.418 0.750
Mo3 0.473 0.642 0.417
C6 0.836 0.332 0.500
Mo4 0.527 0.358 0.583

Properties
E, eV/cell: -220.4
Total magnetic moment, μB per formula unit: 0.0

=====

Record 6
A plane-wave DFT calculation with PBE was carried out for a relaxed structure of Hf8Ge2C3N3.

abc: 3.258 3.258 24.039
angles: 90.00 90.00 120.00
Atoms (fractional coordinates):
N1 0.667 0.333 0.393
N2 0.333 0.667 0.607
C1 0.333 0.667 0.887
Hf1 0.000 0.000 0.837
Hf2 0.000 0.000 0.660
Hf3 0.667 0.333 0.556
Hf4 0.667 0.333 0.946
Hf5 0.333 0.667 0.444
C2 0.667 0.333 0.113
Ge1 0.333 0.667 0.251
Hf6 0.333 0.667 0.054
C3 0.000 0.000 0.000
N3 0.000 0.000 0.500
Ge2 0.667 0.333 0.749
Hf7 0.000 0.000 0.340
Hf8 0.000 0.000 0.163

Properties
E, eV/cell: -160.2
Total magnetic moment, μB per formula unit: 0.0

=====

Record 7
A plane-wave DFT calculation with PBE was carried out for a relaxed structure of Hf4Nb2Ge3C3.

abc: 5.623 5.623 13.897
angles: 101.68 101.68 60.08
Atoms (fractional coordinates):
Hf1 0.133 0.301 0.905
Ge1 0.726 0.582 0.750
Ge2 0.107 0.893 0.750
Hf2 0.034 0.197 0.595
Hf3 0.699 0.867 0.595
Ge3 0.418 0.274 0.750
Hf4 0.197 0.034 0.095
Nb1 0.471 0.639 0.913
Ge4 0.893 0.107 0.250
Ge5 0.582 0.726 0.250
Ge6 0.274 0.418 0.250
Hf5 0.966 0.803 0.405
C1 0.668 0.164 0.500
Hf6 0.803 0.966 0.905
C2 0.836 0.332 0.000
Hf7 0.301 0.133 0.405
C3 0.164 0.668 0.000
C4 0.000 0.500 0.500
C5 0.332 0.836 0.500
C6 0.500 0.000 0.000
Nb2 0.529 0.361 0.087
Nb3 0.361 0.529 0.587
Hf8 0.867 0.699 0.095
Nb4 0.639 0.471 0.413

Properties
E, eV/cell: -220.5
Total magnetic moment, μB per formula unit: 0.0

=====

Record 8
A plane-wave DFT calculation with PBE was carried out for a relaxed structure of HfNbGeC.

abc: 3.269 3.269 13.192
angles: 90.00 90.00 120.00
Atoms (fractional coordinates):
Ge1 0.333 0.667 0.742
Nb1 0.667 0.333 0.588
Hf1 0.333 0.667 0.096
Ge2 0.667 0.333 0.258
Nb2 0.333 0.667 0.412
C1 0.000 0.000 0.500
Hf2 0.667 0.333 0.904
C2 0.000 0.000 0.000

Properties
E, eV/cell: -73.2
Total magnetic moment, μB per formula unit: 0.0

=====

What did the seventh record say?
A plane-wave DFT calculation with PBE was carried out for a relaxed structure of Hf4Nb2Ge3C3.

abc: 5.623 5.623 13.897
angles: 101.68 101.68 60.08
Atoms (fractional coordinates):
Hf1 0.133 0.301 0.905
Ge1 0.726 0.582 0.750
Ge2 0.107 0.893 0.750
Hf2 0.034 0.197 0.595
Hf3 0.699 0.867 0.595
Ge3 0.418 0.274 0.750
Hf4 0.197 0.034 0.095
Nb1 0.471 0.639 0.913
Ge4 0.893 0.107 0.250
Ge5 0.582 0.726 0.250
Ge6 0.274 0.418 0.250
Hf5 0.966 0.803 0.405
C1 0.668 0.164 0.500
Hf6 0.803 0.966 0.905
C2 0.836 0.332 0.000
Hf7 0.301 0.133 0.405
C3 0.164 0.668 0.000
C4 0.000 0.500 0.500
C5 0.332 0.836 0.500
C6 0.500 0.000 0.000
Nb2 0.529 0.361 0.087
Nb3 0.361 0.529 0.587
Hf8 0.867 0.699 0.095
Nb4 0.639 0.471 0.413

Properties
E, eV/cell: -220.5
Total magnetic moment, μB per formula unit: 0.0

=====

Copy entry 7 word for word.
A plane-wave DFT calculation with PBE was carried out for a relaxed structure of Hf4Nb2Ge3C3.

abc: 5.623 5.623 13.897
angles: 101.68 101.68 60.08
Atoms (fractional coordinates):
Hf1 0.133 0.301 0.905
Ge1 0.726 0.582 0.750
Ge2 0.107 0.893 0.750
Hf2 0.034 0.197 0.595
Hf3 0.699 0.867 0.595
Ge3 0.418 0.274 0.750
Hf4 0.197 0.034 0.095
Nb1 0.471 0.639 0.913
Ge4 0.893 0.107 0.250
Ge5 0.582 0.726 0.250
Ge6 0.274 0.418 0.250
Hf5 0.966 0.803 0.405
C1 0.668 0.164 0.500
Hf6 0.803 0.966 0.905
C2 0.836 0.332 0.000
Hf7 0.301 0.133 0.405
C3 0.164 0.668 0.000
C4 0.000 0.500 0.500
C5 0.332 0.836 0.500
C6 0.500 0.000 0.000
Nb2 0.529 0.361 0.087
Nb3 0.361 0.529 0.587
Hf8 0.867 0.699 0.095
Nb4 0.639 0.471 0.413

Properties
E, eV/cell: -220.5
Total magnetic moment, μB per formula unit: 0.0

=====

Question: What is the formula in the seventh record?
Answer: Hf4Nb2Ge3C3